(1)
# GGA-PBE Nb2SbPd, optimized geometry
# - uncorrected formation energy (eV/atom) = -0.189
data_Nb2SbPd
_cell_length_a 5.7486
_cell_length_b 4.6229
_cell_length_c 5.8363
_cell_angle_alpha 90.00
_cell_angle_beta 107.51
_cell_angle_gamma 90.00
_symmetry_space_group_name_H-M 'P 1 21/m 1'
_symmetry_Int_Tables_number 11
loop_
_symmetry_equiv_pos_as_xyz
'x,y,z'
'-x,-y,-z'
'-x,y+1/2,-z'
'x,-y+1/2,z'
loop_
_atom_site_label
_atom_site_type_symbol
_atom_site_fract_x
_atom_site_fract_y
_atom_site_fract_z
_atom_site_occupancy
Nb1 Nb 0.1334 0.2500 0.2158 1
Nb2 Nb 0.3539 0.7500 0.0937 1
Sb1 Sb 0.3283 0.7500 0.5906 1
Pd1 Pd 0.1444 0.2500 0.7330 1

(2)
# GGA-PBE AcNdAlAg, optimized geometry
# - calculated total energy (eV/atom) = -4.102
data_AcNdAlAg
_cell_length_a 7.7481
_cell_length_b 7.7481
_cell_length_c 7.7481
_cell_angle_alpha 90.00
_cell_angle_beta 90.00
_cell_angle_gamma 90.00
_symmetry_space_group_name_H-M 'F -4 3 m'
_symmetry_Int_Tables_number 216
_symmetry_space_group_name_Hall 'F -4 2 3'
loop_
_atom_site_label
_atom_site_type_symbol
_atom_site_fract_x
_atom_site_fract_y
_atom_site_fract_z
_atom_site_occupancy
Ac1 Ac 0.0000 0.0000 0.0000 1
Nd1 Nd 0.0000 0.0000 0.5000 1
Al1 Al 0.2500 0.2500 0.2500 1
Ag1 Ag 0.2500 0.2500 0.7500 1

(3)
# GGA-PBE Y4CoSn8, optimized geometry
# - calculated total energy (eV/atom) = -5.556
data_Y4CoSn8
_cell_length_a 4.4100
_cell_length_b 4.4524
_cell_length_c 16.6240
_cell_angle_alpha 90.00
_cell_angle_beta 90.00
_cell_angle_gamma 90.00
_symmetry_space_group_name_H-M 'P m m 2'
_symmetry_Int_Tables_number 25
loop_
_symmetry_equiv_pos_as_xyz
'x,y,z'
'-x,-y,z'
'-x,y,z'
'x,-y,z'
loop_
_atom_site_label
_atom_site_type_symbol
_atom_site_fract_x
_atom_site_fract_y
_atom_site_fract_z
_atom_site_occupancy
Y1 Y 0.0000 0.0000 0.0000 1
Y2 Y 0.0000 0.5000 0.4934 1
Y3 Y 0.5000 0.0000 0.7921 1
Y4 Y 0.5000 0.5000 0.2973 1
Co1 Co 0.0000 0.5000 0.7039 1
Sn1 Sn 0.0000 0.0000 0.3307 1
Sn2 Sn 0.0000 0.0000 0.6345 1
Sn3 Sn 0.0000 0.5000 0.1477 1
Sn4 Sn 0.0000 0.5000 0.8513 1
Sn5 Sn 0.5000 0.0000 0.1503 1
Sn6 Sn 0.5000 0.0000 0.4565 1
Sn7 Sn 0.5000 0.5000 0.6337 1
Sn8 Sn 0.5000 0.5000 0.9710 1

(4)
# GGA-PBE CeSmZn3, optimized geometry
# - calculated total energy (eV/atom) = -3.174
data_CeSmZn3
_cell_length_a 3.4727
_cell_length_b 27.6423
_cell_length_c 4.5491
_cell_angle_alpha 90.00
_cell_angle_beta 90.00
_cell_angle_gamma 90.00
_symmetry_space_group_name_H-M 'C m c m'
_symmetry_Int_Tables_number 63
_symmetry_space_group_name_Hall '-C 2c 2'
loop_
_atom_site_label
_atom_site_type_symbol
_atom_site_fract_x
_atom_site_fract_y
_atom_site_fract_z
_atom_site_occupancy
Ce1 Ce 0.0000 0.2145 0.2500 1
Sm1 Sm 0.0000 0.0715 0.7500 1
Zn1 Zn 0.0000 0.3315 0.2500 1
Zn2 Zn 0.0000 0.3812 0.7500 1
Zn3 Zn 0.0000 0.4766 0.7500 1

(5)
# GGA-PBE LiCu2SO6, optimized geometry
# - uncorrected formation energy (eV/atom) = -1.071
data_LiCu2SO6
_cell_length_a 8.4292
_cell_length_b 8.7789
_cell_length_c 7.1565
_cell_angle_alpha 90.00
_cell_angle_beta 102.10
_cell_angle_gamma 90.00
_symmetry_space_group_name_H-M 'C 1 2/c 1'
_symmetry_Int_Tables_number 15
loop_
_symmetry_equiv_pos_as_xyz
'x,y,z'
'-x,-y,-z'
'-x,y,-z+1/2'
'x,-y,z+1/2'
'x+1/2,y+1/2,z'
'-x+1/2,-y+1/2,-z'
'-x+1/2,y+1/2,-z+1/2'
'x+1/2,-y+1/2,z+1/2'
loop_
_atom_site_label
_atom_site_type_symbol
_atom_site_fract_x
_atom_site_fract_y
_atom_site_fract_z
_atom_site_occupancy
Li1 Li 0.0000 0.2149 0.2500 1
Cu1 Cu 0.1332 0.4957 0.1568 1
S1 S 0.0000 0.0933 0.7500 1
O1 O 0.0031 0.1851 0.9203 1
O2 O 0.0915 0.4512 0.3972 1
O3 O 0.1393 0.0238 0.2816 1